A relaxed structure of Ac3TcN6. Source: Alexandria, functional PBE.

Crystal system = monoclinic
Total moment = 0.19 μB per atom
Density = 8.71 Mg/m³
Total DFT energy (no corrections) = -75.79 eV for the cell shown

Unit cell a=6.3191 b=5.9294 c=5.9294 alpha=60.31 beta=63.13 gamma=63.13
With the nearest neighbours (Å) after each atom.
Positions (direct):
Ac1 0.0000 0.0000 0.0000  6 N 2.51-2.55
Ac2 0.7115 0.7634 0.7634  5 N 2.56-2.74
Ac3 0.2885 0.2366 0.2366  5 N 2.56-2.74
N1 0.1827 0.7113 0.7113  1 Tc 2.04
N2 0.6478 0.8027 0.3340  1 Tc 2.00
N3 0.3522 0.1973 0.6660  1 Tc 2.00
N4 0.3522 0.6660 0.1973  1 Tc 2.00
N5 0.6478 0.3340 0.8027  1 Tc 2.00
N6 0.8173 0.2887 0.2887  1 Tc 2.04
Tc1 0.5000 0.5000 0.5000  6 N 2.00-2.04

---

A relaxed structure of BaSmTcN3. Source: Alexandria, functional PBE.

Crystal system = monoclinic
Total moment = 0.00 μB per atom
Density = 7.17 Mg/m³
Total DFT energy (no corrections) = -92.60 eV for the cell shown

Unit cell a=3.9354 b=7.1137 c=7.6332 alpha=104.58 beta=90.00 gamma=106.06
With the nearest neighbours (Å) after each atom.
Positions (direct):
N1 0.4974 0.9948 0.6890  2 Tc 1.97
N2 0.5026 0.0052 0.3110  2 Tc 1.97
N3 0.8422 0.6844 0.6401  1 Tc 2.15
N4 0.8538 0.7077 0.2045  1 Tc 1.91
N5 0.1578 0.3156 0.3599  1 Tc 2.15
N6 0.1462 0.2923 0.7955  1 Tc 1.91
Tc1 0.9962 0.9924 0.3178  3 N 1.91-1.97
Tc2 0.0038 0.0076 0.6822  3 N 1.91-1.97
Sm1 0.6579 0.3157 0.5690  7 N 2.44-2.65
Sm2 0.3421 0.6842 0.4310  7 N 2.44-2.65
Ba1 0.6392 0.2783 0.0762  7 N 2.84-3.08
Ba2 0.3608 0.7217 0.9238  7 N 2.84-3.08

---

A relaxed structure of LiPb6Cl12. Source: Alexandria, functional PBE.

Crystal system = trigonal
Total moment = 0.00 μB per atom
Density = 4.86 Mg/m³
Total DFT energy (no corrections) = -67.52 eV for the cell shown

Unit cell a=8.4396 b=8.4396 c=8.4396 alpha=99.53 beta=99.53 gamma=99.53
With the nearest neighbours (Å) after each atom.
Positions (direct):
Cl1 0.4154 0.5670 0.8237  4 Pb 2.89-3.19
Cl2 0.0346 0.9368 0.6909  1 Li 2.65, 1 Pb 2.89
Cl3 0.1763 0.5846 0.4330  4 Pb 2.89-3.19
Cl4 0.9368 0.6909 0.0346  1 Li 2.65, 1 Pb 2.89
Cl5 0.3091 0.9654 0.0632  1 Li 2.65, 1 Pb 2.89
Cl6 0.0632 0.3091 0.9654  1 Li 2.65, 1 Pb 2.89
Cl7 0.4330 0.1763 0.5846  4 Pb 2.89-3.19
Cl8 0.9654 0.0632 0.3091  1 Li 2.65, 1 Pb 2.89
Cl9 0.5846 0.4330 0.1763  4 Pb 2.89-3.19
Cl10 0.6909 0.0346 0.9368  1 Li 2.65, 1 Pb 2.89
Cl11 0.5670 0.8237 0.4154  4 Pb 2.89-3.19
Cl12 0.8237 0.4154 0.5670  4 Pb 2.89-3.19
Pb1 0.6137 0.1283 0.2821  7 Cl 2.89-3.19
Pb2 0.2821 0.6137 0.1283  7 Cl 2.89-3.19
Pb3 0.7179 0.3863 0.8717  7 Cl 2.89-3.19
Pb4 0.1283 0.2821 0.6137  7 Cl 2.89-3.19
Pb5 0.8717 0.7179 0.3863  7 Cl 2.89-3.19
Pb6 0.3863 0.8717 0.7179  7 Cl 2.89-3.19
Li1 0.0000 0.0000 0.0000  6 Cl 2.65

---

A relaxed structure of Pm6CoNi2Br3. Source: Alexandria, functional PBE.

Crystal system = monoclinic
Total moment = 0.00 μB per atom
Density = 6.58 Mg/m³
Total DFT energy (no corrections) = -61.72 eV for the cell shown

Unit cell a=6.9727 b=6.9727 c=8.0552 alpha=98.29 beta=98.29 gamma=120.00
With the nearest neighbours (Å) after each atom.
Positions (direct):
Pm1 0.7379 0.7379 0.1925  1 Co 2.72, 2 Ni 2.78
Pm2 0.9358 0.6096 0.8076  1 Co 2.72, 2 Ni 2.78
Pm3 0.2621 0.2621 0.8075  1 Co 2.72, 2 Ni 2.78
Pm4 0.0642 0.3904 0.1924  1 Co 2.72, 2 Ni 2.78
Pm5 0.6096 0.9358 0.8076  1 Co 2.72, 2 Ni 2.78
Pm6 0.3904 0.0642 0.1924  1 Co 2.72, 2 Ni 2.78
Co1 0.0000 0.0000 0.0000  6 Pm 2.72
Br1 0.5000 0.5000 0.5000  6 Pm 3.30-3.36
Br2 0.8339 0.1661 0.5000  6 Pm 3.30-3.36
Br3 0.1661 0.8339 0.5000  6 Pm 3.30-3.36
Ni1 0.6668 0.3332 0.0000  6 Pm 2.78
Ni2 0.3332 0.6668 0.0000  6 Pm 2.78

---

A relaxed structure of BeCuPd3. Source: Alexandria, functional PBE.

Crystal system = cubic
Total moment = 0.00 μB per atom
ΔH_f (0 K) = 956 meV/atom
Density = 6.94 Mg/m³
ΔE to the lowest computed polymorph = 618.9 kJ/mol of formula units

Unit cell a=4.5431 b=4.5431 c=4.5431 alpha=90.00 beta=90.00 gamma=90.00
With the nearest neighbours (Å) after each atom.
Positions (direct):
Cu1 0.0000 0.0000 0.0000  6 Pd 2.27
Pd1 0.5000 0.0000 0.0000  2 Cu 2.27
Pd2 0.0000 0.0000 0.5000  2 Cu 2.27
Pd3 0.0000 0.5000 0.0000  2 Cu 2.27
Be1 0.5000 0.5000 0.5000  12 Pd 3.21

---

A relaxed structure of Pm4GeS7. Source: Alexandria, functional PBE.

Crystal system = monoclinic
Total moment = 0.00 μB per atom
Density = 4.97 Mg/m³
Total DFT energy (no corrections) = -73.20 eV for the cell shown

Unit cell a=3.9337 b=6.8291 c=11.8083 alpha=104.63 beta=90.00 gamma=106.74
With the nearest neighbours (Å) after each atom.
Positions (direct):
Pm1 0.2955 0.5910 0.1863  7 S 2.81-3.01
Pm2 0.9896 0.9793 0.9977  6 S 2.77-2.82
Pm3 0.6852 0.3705 0.7826  7 S 2.80-3.10
Pm4 0.1228 0.2456 0.4307  6 S 2.78-2.86
S1 0.9544 0.9089 0.2192  4 Pm 2.77-2.86
S2 0.6502 0.3005 0.0421  4 Pm 2.82-2.94
S3 0.3308 0.6616 0.9441  5 Pm 2.81-3.04
S4 0.5280 0.0560 0.5352  2 Ge 2.78, 3 Pm 2.78-3.10
S5 0.7361 0.4721 0.3433  4 Pm 2.82-2.94, 1 Ge 3.13
S6 0.0329 0.0659 0.7807  1 Ge 2.46
S7 0.2750 0.5501 0.6480  2 Ge 2.75, 3 Pm 2.80-2.96
Ge1 0.8993 0.7985 0.5902  3 S 2.46-2.75

---

A relaxed structure of Mg2ScCr. Source: Alexandria, functional PBE.

Crystal system = orthorhombic
Total moment = 0.88 μB per atom
ΔH_f (0 K) = 294 meV/atom
Density = 2.88 Mg/m³
ΔE to the lowest computed polymorph = 46.3 kJ/mol of formula units

Unit cell a=5.3767 b=5.3767 c=3.1168 alpha=90.00 beta=90.00 gamma=111.28
With the nearest neighbours (Å) after each atom.
Positions (direct):
Sc1 0.5000 0.0000 0.5000  2 Cr 3.03, 8 Mg 3.11, 2 Sc 3.12
Mg1 0.0000 0.0000 0.0000  4 Mg 3.03-3.12, 4 Cr 3.11, 4 Sc 3.11
Mg2 0.5000 0.5000 0.0000  4 Mg 3.03-3.12, 4 Sc 3.11, 4 Cr 3.11
Cr1 0.0000 0.5000 0.5000  2 Sc 3.03, 8 Mg 3.11, 2 Cr 3.12

---

A relaxed structure of Cs2HfTeCl6. Source: Alexandria, functional PBE.

Crystal system = tetragonal
Total moment = 0.20 μB per atom
Density = 3.16 Mg/m³
Total DFT energy (no corrections) = -41.22 eV for the cell shown

Unit cell a=8.1190 b=8.1190 c=8.4844 alpha=61.41 beta=61.41 gamma=90.00
With the nearest neighbours (Å) after each atom.
Positions (direct):
Cl1 0.7856 0.2144 0.0000  1 Hf 2.46
Cl2 0.2144 0.7856 0.0000  1 Hf 2.46
Cl3 0.1969 0.1969 0.6062  1 Hf 2.46
Cl4 0.7856 0.7856 0.0000  1 Hf 2.46
Cl5 0.8031 0.8031 0.3938  1 Hf 2.46
Cl6 0.2144 0.2144 0.0000  1 Hf 2.46
Cs1 0.7500 0.2500 0.5000  12 Cl 4.11-4.26
Cs2 0.2500 0.7500 0.5000  12 Cl 4.11-4.26
Te1 0.5000 0.5000 0.0000  4 Cl 3.28
Hf1 0.0000 0.0000 0.0000  6 Cl 2.46

---

A relaxed structure of K2ReBr. Source: Alexandria, functional PBE.

Crystal system = monoclinic
Total moment = 0.00 μB per atom
Density = 3.98 Mg/m³
ΔE to the lowest computed polymorph = 14.4 kJ/mol of formula units

Unit cell a=10.5793 b=3.7620 c=16.0603 alpha=90.00 beta=116.09 gamma=90.00
With the nearest neighbours (Å) after each atom.
Positions (direct):
Re1 0.9644 0.0000 0.4789  2 Re 2.34
Re2 0.9697 0.5000 0.5668  2 Re 2.34
Re3 0.9697 0.0000 0.0668  2 Re 2.34
Re4 0.9644 0.5000 0.9789  2 Re 2.34
K1 0.6655 0.0000 0.8310  4 Br 3.26-3.47, 2 Re 3.55
K2 0.2917 0.5000 0.1540  4 Br 3.23-3.39, 3 Re 3.37-3.59
K3 0.6655 0.5000 0.3310  4 Br 3.26-3.47, 2 Re 3.55
K4 0.6774 0.5000 0.0538  3 Br 3.16-3.29
K5 0.6774 0.0000 0.5538  3 Br 3.16-3.29
K6 0.2917 0.0000 0.6540  4 Br 3.23-3.39, 3 Re 3.37-3.59
K7 0.1386 0.0000 0.8461  2 Br 3.36
K8 0.1386 0.5000 0.3461  2 Br 3.36
Br1 0.5350 0.5000 0.6465  6 K 3.16-3.26
Br2 0.4032 0.0000 0.3488  7 K 3.29-3.47
Br3 0.5350 0.0000 0.1465  6 K 3.16-3.26
Br4 0.4032 0.5000 0.8488  7 K 3.29-3.47

---

A relaxed structure of Pr8DyHo3. Source: Alexandria, functional PBE.

Crystal system = monoclinic
Total moment = 0.00 μB per atom
ΔH_f (0 K) = 109 meV/atom
Density = 7.17 Mg/m³

Unit cell a=12.0846 b=12.8391 c=9.9203 alpha=147.19 beta=90.00 gamma=118.07
With the nearest neighbours (Å) after each atom.
Positions (direct):
Ho1 0.5000 0.5000 0.0000  8 Pr 3.52-3.84, 2 Ho 3.56
Ho2 0.0000 0.5000 0.0000  8 Pr 3.52-3.84, 2 Ho 3.56
Ho3 0.5000 0.0000 0.0000  8 Pr 3.52-3.85, 2 Dy 3.56
Pr1 0.1811 0.3622 0.0288  3 Ho 3.52-3.54, 6 Pr 3.55-3.66, 1 Dy 3.83
Pr2 0.8171 0.1360 0.9700  3 Ho 3.52-3.84, 1 Dy 3.54, 6 Pr 3.56-3.66
Pr3 0.3185 0.6370 0.9720  3 Ho 3.53-3.85, 1 Dy 3.53, 6 Pr 3.55-3.65
Pr4 0.8189 0.6378 0.9712  3 Ho 3.52-3.54, 6 Pr 3.55-3.66, 1 Dy 3.83
Pr5 0.6812 0.8640 0.0300  3 Ho 3.52-3.84, 1 Dy 3.54, 6 Pr 3.56-3.66
Pr6 0.3188 0.1360 0.9700  3 Ho 3.52-3.84, 1 Dy 3.54, 6 Pr 3.56-3.66
Pr7 0.1829 0.8640 0.0300  3 Ho 3.52-3.84, 1 Dy 3.54, 6 Pr 3.56-3.66
Pr8 0.6815 0.3630 0.0280  3 Ho 3.53-3.85, 1 Dy 3.53, 6 Pr 3.55-3.65
Dy1 0.0000 0.0000 0.0000  8 Pr 3.53-3.83, 2 Ho 3.56

---

A relaxed structure of CsHf3B. Source: Alexandria, functional PBE.

Crystal system = cubic
Total moment = 0.00 μB per atom
ΔH_f (0 K) = 824 meV/atom
Density = 10.05 Mg/m³
ΔE to the lowest computed polymorph = 0.0 kJ/mol of formula units

Unit cell a=4.8235 b=4.8235 c=4.8235 alpha=90.00 beta=90.00 gamma=90.00
With the nearest neighbours (Å) after each atom.
Positions (direct):
B1 0.0000 0.0000 0.0000  6 Hf 2.41
Cs1 0.5000 0.5000 0.5000  12 Hf 3.41
Hf1 0.0000 0.5000 0.0000  2 B 2.41
Hf2 0.0000 0.0000 0.5000  2 B 2.41
Hf3 0.5000 0.0000 0.0000  2 B 2.41

---

A relaxed structure of SrLi2Au. Source: Alexandria, functional PBE.

Crystal system = monoclinic
Total moment = 0.00 μB per atom
ΔH_f (0 K) = -415 meV/atom
Density = 4.94 Mg/m³
ΔE to the lowest computed polymorph = 4.5 kJ/mol of formula units

Unit cell a=4.5830 b=4.5830 c=6.1268 alpha=67.85 beta=67.85 gamma=59.96
With the nearest neighbours (Å) after each atom.
Positions (direct):
Li1 0.3004 0.3004 0.0990  3 Li 2.74, 3 Au 2.83-2.84
Li2 0.0099 0.0099 0.9706  3 Au 2.66-2.67, 3 Li 2.74
Au1 0.6953 0.6953 0.9144  6 Li 2.66-2.84
Sr1 0.4944 0.4944 0.5161  4 Li 3.22-3.51, 4 Au 3.32-3.45